a) BeTc5 | Alexandria via LeMat-Bulk | PBE | optimized geometry; SG = No. 38; magnetic moment = 0.00 μB per formula unit; calculated volume = 83 Å³/f.u.
1.0
-5.286 4.605 0.623
3.073 -6.245 -1.046
-0.208 -0.812 4.234
Tc Be
5 1
direct
0.776 0.224 0.500
0.449 0.551 0.500
0.339 0.661 0.000
0.664 0.336 0.000
0.107 0.893 0.500
0.998 0.002 0.000



b) BeTc5 | Alexandria via LeMat-Bulk | PBE | optimized geometry; SG = No. 191; magnetic moment = 0.00 μB per formula unit; calculated volume = 97 Å³/f.u.
1.0
2.455 -4.253 0.000
2.455 4.253 0.000
0.000 0.000 4.627
Tc Be
5 1
direct
0.000 0.500 0.500
0.500 0.500 0.500
0.333 0.667 0.000
0.500 0.000 0.500
0.667 0.333 0.000
0.000 0.000 0.000



Stability summary - winner: a); margin: 63.6 kJ/mol of atoms.



a) BeTc5 | Alexandria via LeMat-Bulk | PBE | optimized geometry; SG = No. 189; magnetic moment = 0.00 μB per formula unit; calculated volume = 83 Å³/f.u.
1.0
2.336 -4.047 0.000
2.336 4.047 0.000
0.000 0.000 4.369
Tc Be
5 1
direct
0.333 0.667 0.500
0.681 0.000 0.000
0.319 0.319 0.000
0.667 0.333 0.500
0.000 0.681 0.000
0.000 0.000 0.500



b) BeTc5 | Alexandria via LeMat-Bulk | PBE | optimized geometry; SG = No. 216; magnetic moment = 0.00 μB per formula unit; calculated volume = 90 Å³/f.u.
1.0
-1.627 -4.755 -0.291
0.407 -3.048 3.986
-4.123 -1.409 2.523
Tc Be
5 1
direct
0.626 0.122 0.626
0.122 0.626 0.626
0.250 0.250 0.250
0.626 0.626 0.626
0.626 0.626 0.122
0.000 0.000 0.000



Stability summary - winner: a); margin: 45.0 kJ/mol of atoms.



a) BeTc5 | Alexandria via LeMat-Bulk | PBE | optimized geometry; SG = No. 8; magnetic moment = 0.00 μB per formula unit; calculated volume = 82 Å³/f.u.
1.0
1.456 4.654 0.128
-1.456 4.654 0.128
0.000 2.032 6.080
Tc Be
5 1
direct
0.653 0.653 0.726
0.313 0.313 0.921
0.303 0.303 0.364
0.613 0.613 0.214
0.967 0.967 0.578
0.984 0.984 0.030



b) BeTc5 | Alexandria via LeMat-Bulk | PBE | optimized geometry; SG = No. 123; magnetic moment = 0.00 μB per formula unit; calculated volume = 81 Å³/f.u.
1.0
2.770 0.000 0.000
0.000 2.770 0.000
0.000 0.000 10.577
Tc Be
5 1
direct
0.000 0.000 0.642
0.000 0.000 0.358
0.000 0.000 0.000
0.500 0.500 0.817
0.500 0.500 0.183
0.500 0.500 0.500



c) BeTc5 | Alexandria via LeMat-Bulk | PBE | optimized geometry; SG = No. 65; magnetic moment = 0.00 μB per formula unit; calculated volume = 83 Å³/f.u.
1.0
2.111 -4.637 0.000
2.111 4.637 0.000
0.000 0.000 4.231
Tc Be
5 1
direct
0.164 0.836 0.000
0.661 0.339 0.500
0.836 0.164 0.000
0.339 0.661 0.500
0.000 0.000 0.500
0.500 0.500 0.000



Stability summary - winner: a); margin: 1.1 kJ/mol of atoms.



a) Be5Tc3 | Alexandria via LeMat-Bulk | PBE | optimized geometry; SG = No. 2; magnetic moment = 0.00 μB per formula unit; calculated volume = 87 Å³/f.u.
1.0
6.754 -0.166 -0.217
-5.278 4.181 0.233
-0.932 -1.925 6.384
Tc Be
6 10
direct
0.699 0.807 0.513
0.801 0.314 0.108
0.198 0.686 0.892
0.250 0.186 0.937
0.749 0.814 0.063
0.300 0.193 0.487
0.554 0.209 0.762
0.246 0.939 0.198
0.753 0.061 0.802
0.249 0.746 0.496
0.945 0.707 0.655
0.445 0.791 0.238
0.253 0.452 0.693
0.750 0.254 0.504
0.746 0.548 0.307
0.054 0.293 0.345



b) Be5Tc3 | Alexandria via LeMat-Bulk | PBE | optimized geometry; SG = No. 65; magnetic moment = 0.00 μB per formula unit; calculated volume = 86 Å³/f.u.
1.0
3.614 -3.735 0.000
3.614 3.735 0.000
0.000 0.000 3.190
Tc Be
3 5
direct
0.777 0.223 0.500
0.500 0.500 0.000
0.223 0.777 0.500
0.748 0.748 0.500
0.500 0.000 0.000
0.000 0.000 0.000
0.000 0.500 0.000
0.252 0.252 0.500



c) Be5Tc3 | Alexandria via LeMat-Bulk | PBE | optimized geometry; SG = No. 193; magnetic moment = 0.00 μB per formula unit; calculated volume = 88 Å³/f.u.
1.0
6.842 0.000 0.000
-3.420 5.926 0.000
0.000 0.000 4.332
Be Tc
10 6
direct
0.333 0.667 0.000
0.000 0.204 0.250
0.796 0.796 0.250
0.000 0.796 0.750
0.667 0.333 0.500
0.204 0.204 0.750
0.796 0.000 0.750
0.333 0.667 0.500
0.667 0.333 0.000
0.204 0.000 0.250
0.000 0.606 0.250
0.000 0.394 0.750
0.606 0.000 0.250
0.394 0.000 0.750
0.394 0.394 0.250
0.606 0.606 0.750



Stability summary - winner: b); margin: 6.5 kJ/mol of atoms.



a) Be4Tc3 | Alexandria via LeMat-Bulk | PBE | optimized geometry; SG = No. 191; magnetic moment = 0.21 μB per formula unit; calculated volume = 90 Å³/f.u.
1.0
-0.930 4.005 -2.767
-3.272 -3.718 0.156
-1.924 1.831 3.297
Be Tc
4 3
direct
0.333 0.667 0.500
0.667 0.333 0.500
0.000 0.000 0.772
0.000 0.000 0.228
0.500 0.500 0.000
0.000 0.500 0.000
0.500 0.000 0.000



b) Be4Tc3 | Alexandria via LeMat-Bulk | PBE | optimized geometry; SG = No. 139; magnetic moment = 0.23 μB per formula unit; calculated volume = 77 Å³/f.u.
1.0
8.249 -5.906 2.009
9.035 -2.782 4.195
-9.587 3.534 -1.605
Be Tc
4 3
direct
0.578 0.578 0.000
0.422 0.422 0.000
0.868 0.868 0.000
0.132 0.132 0.000
0.706 0.706 0.000
0.294 0.294 0.000
0.000 0.000 0.000



Stability summary - winner: b); margin: 40.7 kJ/mol of atoms.



a) Be2Tc3 | Alexandria via LeMat-Bulk | PBE | optimized geometry; SG = No. 43; magnetic moment = 0.00 μB per formula unit; calculated volume = 61 Å³/f.u.
1.0
0.000 4.205 6.021
2.426 0.000 6.021
2.426 4.205 0.000
Be Tc
4 6
direct
0.348 0.549 0.190
0.701 0.902 0.336
0.914 0.190 0.549
0.060 0.336 0.902
0.526 0.761 0.913
0.162 0.338 0.338
0.489 0.724 0.449
0.912 0.088 0.088
0.337 0.449 0.724
0.801 0.913 0.761



b) Be2Tc3 | Alexandria via LeMat-Bulk | PBE | optimized geometry; SG = No. 166; magnetic moment = 0.00 μB per formula unit; calculated volume = 64 Å³/f.u.
1.0
-3.906 8.804 2.893
-2.920 8.030 5.304
-1.316 9.324 3.532
Tc Be
3 2
direct
0.000 0.000 0.000
0.798 0.798 0.798
0.202 0.202 0.202
0.398 0.398 0.398
0.602 0.602 0.602



Stability summary - winner: a); margin: 6.3 kJ/mol of atoms.



a) Be4Tc5 | Alexandria via LeMat-Bulk | PBE | optimized geometry; SG = No. 193; magnetic moment = 0.00 μB per formula unit; calculated volume = 105 Å³/f.u.
1.0
-5.636 3.314 -2.671
-0.356 -6.881 1.550
-1.490 1.089 4.495
Tc Be
10 8
direct
0.728 0.000 0.250
0.272 0.272 0.250
0.333 0.667 0.500
0.667 0.333 0.000
0.333 0.667 0.000
0.000 0.272 0.750
0.272 0.000 0.750
0.000 0.728 0.250
0.667 0.333 0.500
0.728 0.728 0.750
0.389 0.389 0.750
0.389 0.000 0.250
0.000 0.611 0.750
0.611 0.000 0.750
0.000 0.000 0.000
0.000 0.389 0.250
0.611 0.611 0.250
0.000 0.000 0.500



b) Be4Tc5 | Alexandria via LeMat-Bulk | PBE | optimized geometry; SG = No. 139; magnetic moment = 0.00 μB per formula unit; calculated volume = 114 Å³/f.u.
1.0
5.103 3.485 0.180
-3.877 -3.960 2.738
2.591 -4.346 -3.551
Tc Be
5 4
direct
0.672 0.328 0.000
0.328 0.672 0.000
0.328 0.328 0.656
0.000 0.000 0.000
0.672 0.672 0.344
0.332 0.000 0.332
0.668 0.000 0.668
0.000 0.668 0.668
0.000 0.332 0.332



Stability summary - winner: a); margin: 24.4 kJ/mol of atoms.



a) Be3TcTe | Alexandria via LeMat-Bulk | PBE | optimized geometry; SG = No. 221; magnetic moment = 1.87 μB per formula unit; calculated volume = 92 Å³/f.u.
1.0
-3.681 -1.600 -2.061
-0.713 -2.812 3.456
-2.510 3.145 2.042
Te Tc Be
1 1 3
direct
0.000 0.000 0.000
0.500 0.500 0.500
0.500 0.000 0.000
0.000 0.000 0.500
0.000 0.500 0.000



b) Be3TcTe | Alexandria via LeMat-Bulk | PBE | optimized geometry; SG = No. 221; magnetic moment = 0.00 μB per formula unit; calculated volume = 80 Å³/f.u.
1.0
-2.916 -2.370 2.093
3.140 -1.834 2.297
-0.373 3.085 2.973
Te Be Tc
1 3 1
direct
0.500 0.500 0.500
0.500 0.000 0.000
0.000 0.000 0.500
0.000 0.500 0.000
0.000 0.000 0.000



Stability summary - winner: b); margin: 85.4 kJ/mol of atoms.